Record 1
Entry from Alexandria: a relaxed structure of Pr2NdSm4Er (PBE-GGA).

Values from the calculation:
formation energy	0.12	eV/f.u.
total magnetic moment	0.00	μB/f.u.
mass density	7.27	g/cm3

Cell: 5.145 5.150 10.303 Å, 90.00 90.07 90.00°
Positions (direct):
1 Pr 0.000 0.000 0.000
2 Pr 0.500 0.500 0.500
3 Nd 0.000 0.000 0.500
4 Sm 0.000 0.500 0.247
5 Sm 0.000 0.500 0.753
6 Sm 0.500 0.000 0.248
7 Sm 0.500 0.000 0.752
8 Er 0.500 0.500 0.000



Record 2
Entry from Alexandria: a relaxed structure of Pr6NdSm2Er3 (PBE-GGA).

Values from the calculation:
formation energy	0.17	eV/f.u.
total magnetic moment	0.00	μB/f.u.
mass density	7.26	g/cm3

Cell: 6.337 6.337 11.976 Å, 95.04 95.04 120.01°
Positions (direct):
1 Pr 0.082 0.415 0.246
2 Pr 0.251 0.251 0.754
3 Pr 0.415 0.082 0.246
4 Pr 0.585 0.918 0.754
5 Pr 0.749 0.749 0.246
6 Pr 0.918 0.585 0.754
7 Nd 0.500 0.500 0.500
8 Sm 0.167 0.833 0.500
9 Sm 0.833 0.167 0.500
10 Er 0.000 0.000 0.000
11 Er 0.333 0.667 0.000
12 Er 0.667 0.333 0.000



Record 3
Entry from Alexandria: a relaxed structure of Pr5NdSmEr2 (PBE-GGA).

Values from the calculation:
formation energy	1.31	eV/f.u.
total magnetic moment	0.00	μB/f.u.
mass density	6.97	g/cm3

Cell: 10.721 10.721 10.715 Å, 90.00 90.00 148.92°
Positions (direct):
1 Pr 0.016 0.984 0.500
2 Pr 0.280 0.720 0.790
3 Pr 0.296 0.704 0.183
4 Pr 0.389 0.611 0.504
5 Pr 0.478 0.522 0.220
6 Pr 0.522 0.478 0.720
7 Pr 0.611 0.389 0.004
8 Pr 0.704 0.296 0.683
9 Pr 0.720 0.280 0.290
10 Pr 0.984 0.016 0.000
11 Nd 0.412 0.588 0.929
12 Nd 0.588 0.412 0.429
13 Sm 0.199 0.801 0.489
14 Sm 0.801 0.199 0.989
15 Er 0.113 0.887 0.214
16 Er 0.117 0.883 0.799
17 Er 0.883 0.117 0.299
18 Er 0.887 0.113 0.714



Record 4
Entry from Alexandria: a relaxed structure of PrNd2Sm4Er (PBE-GGA).

Values from the calculation:
formation energy	3.07	eV/f.u.
total magnetic moment	0.00	μB/f.u.
mass density	7.17	g/cm3

Cell: 9.626 9.626 6.920 Å, 111.00 111.00 88.40°
Positions (direct):
1 Pr 0.000 0.500 0.000
2 Pr 0.500 0.000 0.500
3 Nd 0.000 0.000 0.000
4 Nd 0.000 0.000 0.500
5 Nd 0.000 0.500 0.500
6 Nd 0.500 0.000 0.000
7 Sm 0.254 0.255 0.519
8 Sm 0.255 0.254 0.019
9 Sm 0.256 0.743 0.999
10 Sm 0.257 0.744 0.501
11 Sm 0.743 0.256 0.499
12 Sm 0.744 0.257 0.001
13 Sm 0.745 0.746 0.981
14 Sm 0.746 0.745 0.481
15 Er 0.500 0.500 0.000
16 Er 0.500 0.500 0.500



Record 5
Entry from Alexandria: a relaxed structure of Pr3NdSm2Er6 (PBE-GGA).

Values from the calculation:
formation energy	0.25	eV/f.u.
total magnetic moment	0.00	μB/f.u.
mass density	7.94	g/cm3

Cell: 6.241 6.241 11.776 Å, 95.05 95.05 119.99°
Positions (direct):
1 Pr 0.000 0.000 0.000
2 Pr 0.333 0.667 0.000
3 Pr 0.667 0.333 0.000
4 Nd 0.500 0.500 0.500
5 Sm 0.167 0.833 0.500
6 Sm 0.833 0.167 0.500
7 Er 0.084 0.417 0.252
8 Er 0.249 0.249 0.748
9 Er 0.417 0.084 0.252
10 Er 0.583 0.916 0.748
11 Er 0.751 0.751 0.252
12 Er 0.916 0.583 0.748



Record 6
Entry from Alexandria: a relaxed structure of PrNd3Sm6Er2 (PBE-GGA).

Values from the calculation:
formation energy	0.20	eV/f.u.
total magnetic moment	0.00	μB/f.u.
mass density	7.41	g/cm3

Cell: 6.284 6.284 12.046 Å, 94.99 94.99 119.98°
Positions (direct):
1 Pr 0.000 0.000 0.000
2 Nd 0.167 0.833 0.500
3 Nd 0.500 0.500 0.500
4 Nd 0.833 0.167 0.500
5 Sm 0.083 0.418 0.247
6 Sm 0.252 0.252 0.753
7 Sm 0.418 0.083 0.247
8 Sm 0.582 0.917 0.753
9 Sm 0.748 0.748 0.247
10 Sm 0.917 0.582 0.753
11 Er 0.333 0.667 0.000
12 Er 0.667 0.333 0.000



Record 7
Entry from Alexandria: a relaxed structure of PrNd2SmEr (PBE-GGA).

Values from the calculation:
formation energy	1.34	eV/f.u.
total magnetic moment	0.00	μB/f.u.
mass density	7.03	g/cm3

Cell: 8.439 6.640 6.304 Å, 90.00 93.27 90.00°
Positions (direct):
1 Pr 0.000 0.000 0.000
2 Pr 0.000 0.000 0.500
3 Nd 0.310 0.308 0.231
4 Nd 0.310 0.692 0.731
5 Nd 0.690 0.308 0.269
6 Nd 0.690 0.692 0.769
7 Sm 0.000 0.433 0.750
8 Sm 0.000 0.567 0.250
9 Er 0.500 0.163 0.750
10 Er 0.500 0.837 0.250



Record 8
Entry from Alexandria: a relaxed structure of Pr3Nd2SmEr6 (PBE-GGA).

Values from the calculation:
formation energy	0.17	eV/f.u.
total magnetic moment	0.00	μB/f.u.
mass density	7.89	g/cm3

Cell: 6.251 6.251 11.788 Å, 95.06 95.06 119.99°
Positions (direct):
1 Pr 0.000 0.000 0.000
2 Pr 0.333 0.667 0.000
3 Pr 0.667 0.333 0.000
4 Nd 0.167 0.833 0.500
5 Nd 0.833 0.167 0.500
6 Sm 0.500 0.500 0.500
7 Er 0.084 0.417 0.251
8 Er 0.250 0.250 0.749
9 Er 0.417 0.084 0.251
10 Er 0.583 0.916 0.749
11 Er 0.750 0.750 0.251
12 Er 0.916 0.583 0.749